Compound: Cs6Dy3I14
Source: Alexandria
Functional: PBE
Structure: relaxed

Cell lengths 13.9977, 13.9977, 7.6012 Å; angles 90.00, 90.00, 120.00 degrees
Space group P3 (No. 143)
Symmetry-distinct sites (fractional):
Cs1 0.0249 0.5642 0.0000
Cs2 0.3060 0.0990 0.5126
Dy1 0.0000 0.0000 0.9303
Dy2 0.3333 0.6667 0.4189
Dy3 0.6667 0.3333 0.2690
I1 0.0000 0.0000 0.3149
I2 0.0748 0.8519 0.7989
I3 0.1880 0.4434 0.2898
I4 0.3333 0.6667 0.8036
I5 0.4581 0.1985 0.0444
I6 0.5303 0.4060 0.4909

Calculated values
Its density of states at the Fermi level is 0.434 states/eV per atom. As for the formation energy from raw total energies: -1.4057 eV per atom. The crystal system is trigonal. Its total moment is 1.2 Bohr magnetons per cell.